[1]
Material: TiVTe2N
Method: DFT, PBE
State: relaxed

The offset from the most stable computed form comes out at 0 meV per atom. The calculation puts the magnetic moment at 0.4355 μB per atom. The calculation puts the uncorrected formation energy at 0.40 eV per formula unit. The density of states at the Fermi level is 6.71 states/eV/cell.

The space group is P4/mmm (No. 123) and the conventional cell measures 5.3697, 5.3697 and 3.6274 Å, with angles of 90.00, 90.00 and 90.00 degrees. Symmetry generates all atoms from Ti at (0.0000, 0.0000, 0.0000), V at (0.5000, 0.5000, 0.5000), Te at (0.0000, 0.5000, 0.5000) and N at (0.5000, 0.5000, 0.0000).

[2]
Material: TbSc2Cr2C4
Method: DFT, PBE
State: relaxed

The calculation puts the magnetic moment at 0.0000 μB per atom. The density of states at the Fermi level is 10.58 states/eV/cell. The calculation puts the calculated formation energy at -222 meV/atom.

The space group is C2/m (No. 12) and the conventional cell measures 12.9430, 3.1720 and 5.6822 Å, with angles of 90.00, 112.83 and 90.00 degrees. Symmetry generates all atoms from Tb at (0.0000, 0.0000, 0.0000), Sc at (0.1506, 0.0000, 0.5411), Cr at (0.1745, 0.5000, 0.9737), C at (0.0221, 0.5000, 0.6349) and C at (0.2212, 0.0000, 0.2168).